# B5C, relaxed, DFT PBE
# Final energy (eV/atom): -6.4953
# DFT formation energy (meV/atom): 607
# Energy above the lowest structure with this stoichiometry (meV/atom): 410
data_B5C
_chemical_formula_sum 'B10 C2'
_cell_length_a 2.7723
_cell_length_b 2.7723
_cell_length_c 16.6248
_cell_angle_alpha 90.00
_cell_angle_beta 90.00
_cell_angle_gamma 120.00
_symmetry_space_group_name_H-M 'P 1'
_symmetry_Int_Tables_number 1
loop_
_symmetry_equiv_pos_as_xyz
'x,y,z'
loop_
_atom_site_label
_atom_site_fract_x
_atom_site_fract_y
_atom_site_fract_z
B1 0.6667 0.3333 0.8220
B2 0.0000 0.0000 0.8418
B3 0.3333 0.6667 0.6999
B4 0.6667 0.3333 0.7197
B5 0.6667 0.3333 0.3212
B6 0.0000 0.0000 0.3821
B7 0.3333 0.6667 0.4831
B8 0.3333 0.6667 0.1595
B9 0.6667 0.3333 0.2205
B10 0.0000 0.0000 0.0585
C1 0.0000 0.0000 0.4766
C2 0.3333 0.6667 0.0651

# PrPa2CdO8, relaxed, DFT PBE
# Final energy (eV/atom): -8.3136
# Formation energy (no corrections) (meV/atom): -2951
data_PrPa2CdO8
_chemical_formula_sum 'Pr1 Pa2 Cd1 O8'
_cell_length_a 5.5209
_cell_length_b 5.5209
_cell_length_c 6.6720
_cell_angle_alpha 114.44
_cell_angle_beta 114.44
_cell_angle_gamma 90.00
_symmetry_space_group_name_H-M 'P 1'
_symmetry_Int_Tables_number 1
loop_
_symmetry_equiv_pos_as_xyz
'x,y,z'
loop_
_atom_site_label
_atom_site_fract_x
_atom_site_fract_y
_atom_site_fract_z
Pr1 0.7500 0.2500 0.5000
Pa1 0.5000 0.5000 0.0000
Pa2 0.2500 0.7500 0.5000
Cd1 0.0000 0.0000 0.0000
O1 0.8747 0.8534 0.2491
O2 0.3745 0.3958 0.2491
O3 0.6038 0.6255 0.7505
O4 0.1467 0.1250 0.7505
O5 0.8750 0.3962 0.2495
O6 0.3745 0.8533 0.2495
O7 0.1466 0.6255 0.7509
O8 0.6042 0.1253 0.7509